Here is a relaxed structure of Ac2PrU3N8 from Alexandria. Energies are from PBE.

Structure (POSCAR):
```
Ac2PrU3N8
1.0
7.0674 0.0000 0.0000
3.5337 6.1205 0.0000
3.5337 2.0402 5.9971
Ac Pr U N
2 1 3 8
direct
0.1168 0.1168 0.6495
0.4996 0.4996 0.5011
0.8842 0.8842 0.3473
0.4987 0.0002 0.0023
0.0002 0.4987 0.0023
0.4987 0.4987 0.0023
0.2708 0.2708 0.1876
0.7299 0.7299 0.8103
0.2511 0.2511 0.8110
0.6867 0.2511 0.8110
0.2511 0.6867 0.8110
0.7521 0.3004 0.1954
0.3004 0.7521 0.1954
0.7521 0.7521 0.1954
```

Summary:
Raw formation energy in eV per atom: -1.287